# 1
First-principles (PBE) data for a relaxed GeAs2SeI crystal, as listed in Alexandria via LeMat-Bulk.

Properties
ΔE to the lowest computed polymorph ... 0 meV per atom
Energy relative to the elements, uncorrected ... 0.651 eV/atom
V ... 26.0 A^3/atom
M_tot ... 0.00 μB/f.u.

```
data_GeAs2SeI
_cell_length_a 5.158
_cell_length_b 5.158
_cell_length_c 4.878
_cell_angle_alpha 90.00
_cell_angle_beta 90.00
_cell_angle_gamma 90.00
_space_group_name_H-M_alt 'P 4/m m m'
_space_group_IT_number 123
_space_group_name_Hall '-P 4 2'
loop_
_atom_site_label
_atom_site_fract_x
_atom_site_fract_y
_atom_site_fract_z
Ge1 0.000 0.000 0.000
As1 0.000 0.500 0.000
Se1 0.000 0.000 0.500
I1 0.500 0.500 0.500
```



# 2
First-principles (PBE) data for a relaxed TmZnSn crystal, as listed in Alexandria via LeMat-Bulk.

Properties
V ... 22.6 A^3/atom
ΔH_f (0 K) ... -0.4427 eV per atom
M_tot ... 0.00 μB/f.u.

```
data_TmZnSn
_cell_length_a 4.5006
_cell_length_b 4.5006
_cell_length_c 3.8583
_cell_angle_alpha 90.00
_cell_angle_beta 90.00
_cell_angle_gamma 120.00
_space_group_name_H-M_alt 'P 3 m 1'
_space_group_IT_number 156
loop_
_space_group_symop_operation_xyz
'x,y,z'
'-y,x-y,z'
'-x+y,-x,z'
'-y,-x,z'
'-x+y,y,z'
'x,x-y,z'
loop_
_atom_site_label
_atom_site_fract_x
_atom_site_fract_y
_atom_site_fract_z
Tm1 0.0000 0.0000 0.0000
Zn1 0.3333 0.6667 0.6074
Sn1 0.6667 0.3333 0.4626
```



# 3
First-principles (PBE) data for a relaxed TmPuInBi crystal, as listed in Alexandria via LeMat-Bulk.

Properties
V ... 27.7 A^3/atom
ΔH_f (0 K) ... -0.2834 eV per atom
M_tot ... 6.23 μB/f.u.

```
data_TmPuInBi
_cell_length_a 7.625
_cell_length_b 7.625
_cell_length_c 7.625
_cell_angle_alpha 90.00
_cell_angle_beta 90.00
_cell_angle_gamma 90.00
_space_group_name_H-M_alt 'F -4 3 m'
_space_group_IT_number 216
_space_group_name_Hall 'F -4 2 3'
loop_
_atom_site_label
_atom_site_fract_x
_atom_site_fract_y
_atom_site_fract_z
Tm1 0.000 0.000 0.000
Pu1 0.000 0.000 0.500
In1 0.250 0.250 0.250
Bi1 0.250 0.250 0.750
```



# 4
First-principles (PBE) data for a relaxed CuPd2 crystal, as listed in Alexandria via LeMat-Bulk.

Properties
ΔE to the lowest computed polymorph ... 0 meV per atom
V ... 14.3 A^3/atom
ΔH_f (0 K) ... -0.0827 eV per atom
M_tot ... 0.00 μB/f.u.

```
data_CuPd2
_cell_length_a 2.770
_cell_length_b 2.770
_cell_length_c 11.193
_cell_angle_alpha 90.00
_cell_angle_beta 90.00
_cell_angle_gamma 90.00
_space_group_name_H-M_alt 'I 4/m m m'
_space_group_IT_number 139
_space_group_name_Hall '-I 4 2'
loop_
_atom_site_label
_atom_site_fract_x
_atom_site_fract_y
_atom_site_fract_z
Cu1 0.000 0.000 0.000
Pd1 0.000 0.000 0.341
```



# 5
First-principles (PBE) data for a relaxed BaP2Rh crystal, as listed in Alexandria via LeMat-Bulk.

Properties
V ... 20.1 A^3/atom
ΔH_f (0 K) ... -0.2769 eV per atom
M_tot ... 0.00 μB/f.u.

```
data_BaP2Rh
_cell_length_a 4.847
_cell_length_b 4.869
_cell_length_c 6.804
_cell_angle_alpha 90.00
_cell_angle_beta 90.00
_cell_angle_gamma 90.00
_space_group_name_H-M_alt 'C m m m'
_space_group_IT_number 65
_space_group_name_Hall '-C 2 2'
loop_
_atom_site_label
_atom_site_fract_x
_atom_site_fract_y
_atom_site_fract_z
Ba1 0.000 0.000 0.000
P1 0.000 0.500 0.340
Rh1 0.000 0.000 0.500
```



# 6
First-principles (PBE) data for a relaxed CsMgNb2O crystal, as listed in Alexandria via LeMat-Bulk.

Properties
Energy relative to the elements, uncorrected ... 0.179 eV/atom
V ... 21.0 A^3/atom
M_tot ... 0.00 μB/f.u.

```
data_CsMgNb2O
_cell_length_a 4.312
_cell_length_b 4.312
_cell_length_c 5.643
_cell_angle_alpha 90.00
_cell_angle_beta 90.00
_cell_angle_gamma 90.00
_space_group_name_H-M_alt 'P 4/m m m'
_space_group_IT_number 123
_space_group_name_Hall '-P 4 2'
loop_
_atom_site_label
_atom_site_fract_x
_atom_site_fract_y
_atom_site_fract_z
Cs1 0.000 0.000 0.000
Mg1 0.500 0.500 0.000
Nb1 0.000 0.500 0.500
O1 0.000 0.000 0.500
```



# 7
First-principles (PBE) data for a relaxed NpUTeSe2 crystal, as listed in Alexandria via LeMat-Bulk.

Properties
Energy relative to the elements, uncorrected ... -0.711 eV/atom
V ... 24.4 A^3/atom
M_tot ... 2.56 μB/f.u.

```
data_NpUTeSe2
_cell_length_a 4.432
_cell_length_b 4.432
_cell_length_c 12.420
_cell_angle_alpha 90.00
_cell_angle_beta 90.00
_cell_angle_gamma 90.00
_space_group_name_H-M_alt 'I 4 m m'
_space_group_IT_number 107
_space_group_name_Hall 'I 4 -2'
loop_
_atom_site_label
_atom_site_fract_x
_atom_site_fract_y
_atom_site_fract_z
Np1 0.000 0.000 0.000
U1 0.000 0.000 0.803
Te1 0.000 0.000 0.404
Se1 0.000 0.500 0.154
```



# 8
First-principles (PBE) data for a relaxed Al3Ru2 crystal, as listed in Alexandria via LeMat-Bulk.

Properties
V ... 14.1 A^3/atom
ΔH_f (0 K) ... -0.4921 eV per atom
M_tot ... 0.00 μB/f.u.

```
data_Al3Ru2
_cell_length_a 8.723
_cell_length_b 12.671
_cell_length_c 5.116
_cell_angle_alpha 90.00
_cell_angle_beta 90.00
_cell_angle_gamma 90.00
_space_group_name_H-M_alt 'F d d 2'
_space_group_IT_number 43
_space_group_name_Hall 'F 2 -2d'
loop_
_atom_site_label
_atom_site_fract_x
_atom_site_fract_y
_atom_site_fract_z
Al1 0.000 0.000 0.000
Al2 0.049 0.394 0.019
Ru1 0.033 0.302 0.557
```